Record 1
Below is a geometry-optimized Nd2SmCd2Hg2 structure, with properties calculated at the GGA-PBE level.

## Properties
Space-group type   R-3m (166)

Cell and atoms, written as extended XYZ:
```
7
Lattice="2.4949 1.4404 9.0436 -2.4949 1.4404 9.0436 0.0000 -2.8808 9.0436" Properties=species:S:1:pos:R:3 pbc="T T T"
Nd 0.0000 0.0000 3.3974
Nd 0.0000 0.0000 23.7335
Sm 0.0000 0.0000 0.0000
Cd 0.0000 0.0000 7.0943
Cd 0.0000 0.0000 20.0366
Hg 0.0000 0.0000 10.7297
Hg 0.0000 0.0000 16.4012
```

Record 2
Below is a geometry-optimized NdSm2CdHg4 structure, with properties calculated at the GGA-PBE level.

## Properties
Space-group type   R-3m (166)

Cell and atoms, written as extended XYZ:
```
8
Lattice="2.6007 1.5015 9.0295 -2.6007 1.5015 9.0295 0.0000 -3.0031 9.0295" Properties=species:S:1:pos:R:3 pbc="T T T"
Nd 0.0000 0.0000 0.0000
Sm 0.0000 0.0000 6.5014
Sm 0.0000 0.0000 20.5873
Cd 0.0000 0.0000 13.5443
Hg 0.0000 0.0000 3.3369
Hg 0.0000 0.0000 10.1038
Hg 0.0000 0.0000 16.9848
Hg 0.0000 0.0000 23.7518
```

Record 3
Below is a geometry-optimized NdCdSnHg structure, with properties calculated at the GGA-PBE level.

## Properties
Space-group type   Pmmm (47)

Cell and atoms, written as extended XYZ:
```
4
Lattice="4.5073 0.0000 0.0000 0.0000 4.6355 0.0000 0.0000 0.0000 4.9112" Properties=species:S:1:pos:R:3 pbc="T T T"
Nd 0.0000 0.0000 0.0000
Cd 0.0000 2.3178 2.4556
Sn 2.2537 2.3178 0.0000
Hg 2.2537 0.0000 2.4556
```

Record 4
Below is a geometry-optimized NdCdSnHg structure, with properties calculated at the GGA-PBE level.

## Properties
Space-group type   F-43m (216)

Cell and atoms, written as extended XYZ:
```
4
Lattice="0.0000 3.7450 3.7450 3.7450 0.0000 3.7450 3.7450 3.7450 0.0000" Properties=species:S:1:pos:R:3 pbc="T T T"
Nd 0.0000 0.0000 0.0000
Cd 3.7450 3.7450 3.7450
Sn 1.8725 1.8725 1.8725
Hg 5.6175 5.6175 5.6175
```

Record 5
Below is a geometry-optimized Sr2NdCdHg6 structure, with properties calculated at the GGA-PBE level.

## Properties
Space-group type   Fm-3m (225)

Cell and atoms, written as extended XYZ:
```
10
Lattice="0.0000 5.6996 5.6996 5.6996 0.0000 5.6996 5.6996 5.6996 0.0000" Properties=species:S:1:pos:R:3 pbc="T T T"
Sr 2.8498 2.8498 2.8498
Sr 8.5493 8.5493 8.5493
Nd 0.0000 0.0000 0.0000
Cd 5.6996 5.6996 5.6996
Hg 5.6996 5.6996 2.9359
Hg 5.6996 2.9359 5.6996
Hg 8.4632 5.6996 5.6996
Hg 2.9359 5.6996 5.6996
Hg 5.6996 8.4632 5.6996
Hg 5.6996 5.6996 8.4632
```

Record 6
Below is a geometry-optimized Tb2NdCdHg4 structure, with properties calculated at the GGA-PBE level.

## Properties
Space-group type   R-3m (166)

Cell and atoms, written as extended XYZ:
```
8
Lattice="2.5718 1.4848 9.0022 -2.5718 1.4848 9.0022 0.0000 -2.9696 9.0022" Properties=species:S:1:pos:R:3 pbc="T T T"
Tb 0.0000 0.0000 6.4848
Tb 0.0000 0.0000 20.5219
Nd 0.0000 0.0000 0.0000
Cd 0.0000 0.0000 13.5034
Hg 0.0000 0.0000 3.3435
Hg 0.0000 0.0000 10.1626
Hg 0.0000 0.0000 16.8442
Hg 0.0000 0.0000 23.6632
```

Record 7
Below is a geometry-optimized TbNd2CdHg4 structure, with properties calculated at the GGA-PBE level.

## Properties
Space-group type   R-3m (166)

Cell and atoms, written as extended XYZ:
```
8
Lattice="2.6175 1.5112 8.8642 -2.6175 1.5112 8.8642 0.0000 -3.0224 8.8642" Properties=species:S:1:pos:R:3 pbc="T T T"
Tb 0.0000 0.0000 0.0000
Nd 0.0000 0.0000 6.4222
Nd 0.0000 0.0000 20.1704
Cd 0.0000 0.0000 13.2963
Hg 0.0000 0.0000 3.2305
Hg 0.0000 0.0000 9.7720
Hg 0.0000 0.0000 16.8207
Hg 0.0000 0.0000 23.3621
```

Record 8
Below is a geometry-optimized NdThCdHg structure, with properties calculated at the GGA-PBE level.

## Properties
Space-group type   F-43m (216)

Cell and atoms, written as extended XYZ:
```
4
Lattice="0.0000 3.8402 3.8402 3.8402 0.0000 3.8402 3.8402 3.8402 0.0000" Properties=species:S:1:pos:R:3 pbc="T T T"
Nd 0.0000 0.0000 0.0000
Th 3.8402 3.8402 3.8402
Cd 1.9201 1.9201 1.9201
Hg 5.7603 5.7603 5.7603
```

Record 9
Below is a geometry-optimized Nd4Tl2CdHg structure, with properties calculated at the GGA-PBE level.

## Properties
Space-group type   R-3m (166)

Cell and atoms, written as extended XYZ:
```
8
Lattice="2.7463 1.5856 8.9556 -2.7463 1.5856 8.9556 0.0000 -3.1712 8.9556" Properties=species:S:1:pos:R:3 pbc="T T T"
Nd 0.0000 0.0000 3.3132
Nd 0.0000 0.0000 10.0324
Nd 0.0000 0.0000 16.8343
Nd 0.0000 0.0000 23.5536
Tl 0.0000 0.0000 6.6573
Tl 0.0000 0.0000 20.2095
Cd 0.0000 0.0000 13.4334
Hg 0.0000 0.0000 0.0000
```

Record 10
Below is a geometry-optimized NdTmCd2Hg4 structure, with properties calculated at the GGA-PBE level.

## Properties
Space-group type   R-3m (166)

Cell and atoms, written as extended XYZ:
```
8
Lattice="2.5578 1.4768 8.4264 -2.5578 1.4768 8.4264 0.0000 -2.9535 8.4264" Properties=species:S:1:pos:R:3 pbc="T T T"
Nd 0.0000 0.0000 0.0000
Tm 0.0000 0.0000 12.6396
Cd 0.0000 0.0000 6.3312
Cd 0.0000 0.0000 18.9480
Hg 0.0000 0.0000 3.2403
Hg 0.0000 0.0000 9.5826
Hg 0.0000 0.0000 15.6967
Hg 0.0000 0.0000 22.0390
```

Record 11
Below is a geometry-optimized Nd2YCd2Hg2 structure, with properties calculated at the GGA-PBE level.

## Properties
Space-group type   R-3m (166)

Cell and atoms, written as extended XYZ:
```
7
Lattice="2.4762 1.4296 9.0521 -2.4762 1.4296 9.0521 0.0000 -2.8592 9.0521" Properties=species:S:1:pos:R:3 pbc="T T T"
Nd 0.0000 0.0000 3.4088
Nd 0.0000 0.0000 23.7475
Y 0.0000 0.0000 0.0000
Cd 0.0000 0.0000 7.1374
Cd 0.0000 0.0000 20.0190
Hg 0.0000 0.0000 10.6910
Hg 0.0000 0.0000 16.4653
```

Record 12
Below is a geometry-optimized NdZrCdHg structure, with properties calculated at the GGA-PBE level.

## Properties
Space-group type   F-43m (216)

Cell and atoms, written as extended XYZ:
```
4
Lattice="0.0000 3.6887 3.6887 3.6887 0.0000 3.6887 3.6887 3.6887 0.0000" Properties=species:S:1:pos:R:3 pbc="T T T"
Nd 0.0000 0.0000 0.0000
Zr 3.6887 3.6887 3.6887
Cd 5.5330 5.5330 5.5330
Hg 1.8443 1.8443 1.8443
```

Record 13
Below is a geometry-optimized CdNi2Hg structure, with properties calculated at the GGA-PBE level.

## Properties
Space-group type   Fm-3m (225)

Cell and atoms, written as extended XYZ:
```
4
Lattice="0.0000 3.1416 3.1416 3.1416 0.0000 3.1416 3.1416 3.1416 0.0000" Properties=species:S:1:pos:R:3 pbc="T T T"
Cd 0.0000 0.0000 0.0000
Ni 1.5708 1.5708 1.5708
Ni 4.7124 4.7124 4.7124
Hg 3.1416 3.1416 3.1416
```

Record 14
Below is a geometry-optimized Cd2NiHg structure, with properties calculated at the GGA-PBE level.

## Properties
Space-group type   P4/mmm (123)

Cell and atoms, written as extended XYZ:
```
4
Lattice="4.2047 0.0000 0.0000 0.0000 4.2047 0.0000 0.0000 0.0000 4.2073" Properties=species:S:1:pos:R:3 pbc="T T T"
Cd 0.0000 2.1023 0.0000
Cd 2.1023 0.0000 0.0000
Ni 0.0000 0.0000 2.1036
Hg 2.1023 2.1023 2.1036
```

Record 15
Below is a geometry-optimized CdNi2Hg structure, with properties calculated at the GGA-PBE level.

## Properties
Space-group type   F-43m (216)

Cell and atoms, written as extended XYZ:
```
4
Lattice="0.0000 3.1661 3.1661 3.1661 0.0000 3.1661 3.1661 3.1661 0.0000" Properties=species:S:1:pos:R:3 pbc="T T T"
Cd 0.0000 0.0000 0.0000
Ni 1.5830 1.5830 1.5830
Ni 3.1661 3.1661 3.1661
Hg 4.7491 4.7491 4.7491
```

Record 16
Below is a geometry-optimized Cd2NiHg structure, with properties calculated at the GGA-PBE level.

## Properties
Space-group type   Pm (6)

Cell and atoms, written as extended XYZ:
```
4
Lattice="3.1277 0.0000 0.0000 0.0000 4.3515 0.0000 -1.4126 0.0000 5.6584" Properties=species:S:1:pos:R:3 pbc="T T T"
Cd 0.0000 0.0000 0.0000
Cd 0.0650 2.1758 3.9051
Ni 1.6294 0.0000 2.9531
Hg 1.5871 2.1758 1.3571
```

Record 17
Below is a geometry-optimized CdNiHg2 structure, with properties calculated at the GGA-PBE level.

## Properties
Space-group type   C2/m (12)

Cell and atoms, written as extended XYZ:
```
4
Lattice="2.9492 -4.8710 0.0000 2.9492 4.8710 0.0000 -1.5657 0.0000 2.8194" Properties=species:S:1:pos:R:3 pbc="T T T"
Cd 0.0000 0.0000 0.0000
Ni 2.9492 0.0000 0.0000
Hg 1.4746 2.4355 0.0000
Hg 1.4746 -2.4355 0.0000
```

Record 18
Below is a geometry-optimized Cd2NiHg structure, with properties calculated at the GGA-PBE level.

## Properties
Space-group type   R3m (160)

Cell and atoms, written as extended XYZ:
```
4
Lattice="2.2134 1.2779 4.9789 -2.2134 1.2779 4.9789 0.0000 -2.5558 4.9789" Properties=species:S:1:pos:R:3 pbc="T T T"
Cd 0.0000 0.0000 0.0000
Cd 0.0000 0.0000 3.2648
Ni 0.0000 0.0000 9.1954
Hg 0.0000 0.0000 6.5413
```

Record 19
Below is a geometry-optimized Cd4NiHg2 structure, with properties calculated at the GGA-PBE level.

## Properties
Space-group type   C2/m (12)

Cell and atoms, written as extended XYZ:
```
7
Lattice="6.4347 -2.2596 0.0000 6.4347 2.2596 0.0000 -2.0843 0.0000 5.3619" Properties=species:S:1:pos:R:3 pbc="T T T"
Cd 0.0826 0.0000 1.4904
Cd 4.2971 0.0000 1.6207
Cd 6.4880 0.0000 3.7413
Cd 10.7025 0.0000 3.8715
Ni 6.4347 0.0000 0.0000
Hg 2.0512 0.0000 3.9755
Hg 8.7339 0.0000 1.3864
```

Record 20
Below is a geometry-optimized CdNiHg4 structure, with properties calculated at the GGA-PBE level.

## Properties
Space-group type   F-43m (216)

Cell and atoms, written as extended XYZ:
```
6
Lattice="0.0000 4.1228 4.1228 4.1228 0.0000 4.1228 4.1228 4.1228 0.0000" Properties=species:S:1:pos:R:3 pbc="T T T"
Cd 0.0000 0.0000 0.0000
Ni 2.0614 2.0614 2.0614
Hg 5.1494 3.0962 3.0962
Hg 3.0962 5.1494 3.0962
Hg 3.0962 3.0962 5.1494
Hg 5.1494 5.1494 5.1494
```

Number 1: energy -18.62 eV per formula unit, density of states at the Fermi level 5.2 states/eV/f.u., formation energy -275.9 meV/atom. Number 2: energy -19.76 eV per formula unit, density of states at the Fermi level 6.1 states/eV/f.u., formation energy -428.3 meV/atom. Number 3: energy -11.83 eV per formula unit, density of states at the Fermi level 1.7 states/eV/f.u., formation energy -461.7 meV/atom. Number 4: energy -11.26 eV per formula unit, density of states at the Fermi level 3.2 states/eV/f.u., formation energy -317.1 meV/atom. Number 5: energy -11.70 eV per formula unit, density of states at the Fermi level 10.1 states/eV/f.u., formation energy -84.7 meV/atom. Number 6: energy -19.49 eV per formula unit, density of states at the Fermi level 5.9 states/eV/f.u., formation energy -417.7 meV/atom. Number 7: energy -19.87 eV per formula unit, density of states at the Fermi level 5.0 states/eV/f.u., formation energy -447.8 meV/atom. Number 8: energy -14.31 eV per formula unit, density of states at the Fermi level 6.5 states/eV/f.u., formation energy -227.2 meV/atom. Number 9: energy -28.21 eV per formula unit, density of states at the Fermi level 8.3 states/eV/f.u., formation energy -398.8 meV/atom. Number 10: energy -15.24 eV per formula unit, density of states at the Fermi level 3.4 states/eV/f.u., formation energy -370.9 meV/atom. Number 11: energy -20.30 eV per formula unit, density of states at the Fermi level 5.7 states/eV/f.u., formation energy -266.7 meV/atom. Number 12: energy -15.14 eV per formula unit, density of states at the Fermi level 5.3 states/eV/f.u., formation energy -151.8 meV/atom. Number 13: energy -12.24 eV per formula unit, density of states at the Fermi level 2.5 states/eV/f.u., formation energy 134.3 meV/atom. Number 14: energy -7.35 eV per formula unit, density of states at the Fermi level 1.4 states/eV/f.u., formation energy 141.1 meV/atom. Number 15: energy -11.68 eV per formula unit, density of states at the Fermi level 2.2 states/eV/f.u., formation energy 274.4 meV/atom. Number 16: energy -7.36 eV per formula unit, density of states at the Fermi level 1.8 states/eV/f.u., formation energy 138.6 meV/atom. Number 17: energy -6.20 eV per formula unit, density of states at the Fermi level 2.0 states/eV/f.u., formation energy 274.3 meV/atom. Number 18: energy -7.29 eV per formula unit, density of states at the Fermi level 1.6 states/eV/f.u., formation energy 155.7 meV/atom. Number 19: energy -9.76 eV per formula unit, density of states at the Fermi level 3.1 states/eV/f.u., formation energy 41.1 meV/atom. Number 20: energy -4.76 eV per formula unit, density of states at the Fermi level 4.4 states/eV/f.u., formation energy 523.6 meV/atom.